# 1
# Na2HoPb

Na2HoPb after structural relaxation (GGA-PBE, Alexandria).

The structure in POSCAR format:
```
Na2HoPb
1.0
1.715 0.990 12.501
-1.715 0.990 12.501
0.000 -1.981 12.501
Na Ho Pb
2 1 1
Cartesian
0.000 0.000 3.406
0.000 0.000 34.097
0.000 0.000 0.000
0.000 0.000 18.751
```

Values from the calculation:
**Calculated total energy**: -2.58 eV per atom
**Space group**: R-3m, No. 166
**Formation energy**: 0.62 eV/f.u.

=====

# 2
# HgW

HgW after structural relaxation (GGA-PBE, Alexandria).

The structure in POSCAR format:
```
HgW
1.0
4.600 0.000 0.000
0.000 4.417 2.783
0.000 -4.417 2.783
Hg W
3 3
Cartesian
0.000 0.000 0.000
2.300 -1.549 4.414
2.300 1.549 4.414
0.000 -1.282 2.686
0.000 1.282 2.686
2.300 0.000 1.899
```

Values from the calculation:
**ΔE to the lowest computed polymorph**: 328 meV per atom
**Calculated total energy**: -5.80 eV per atom
**Space group**: Amm2, No. 38
**Formation energy**: 1.66 eV/f.u.

=====

# 3
# Y2InNiSb

Y2InNiSb after structural relaxation (GGA-PBE, Alexandria).

The structure in POSCAR format:
```
Y2InNiSb
1.0
5.390 0.000 0.000
0.000 5.390 0.000
0.000 0.000 4.802
Y In Ni Sb
2 1 1 1
Cartesian
0.000 2.695 0.000
2.695 0.000 0.000
0.000 0.000 2.401
2.695 2.695 0.000
2.695 2.695 2.401
```

Values from the calculation:
**Calculated total energy**: -5.44 eV per atom
**ΔE_f (raw)**: -0.321 eV per atom
**Space group**: P4/mmm, No. 123

=====

# 4
# CoPt2S

CoPt2S after structural relaxation (GGA-PBE, Alexandria).

The structure in POSCAR format:
```
CoPt2S
1.0
-1.896 1.896 8.659
1.896 -1.896 8.659
1.896 1.896 -8.659
Co Pt S
2 4 2
Cartesian
0.000 0.000 0.000
0.000 1.896 4.330
0.948 -0.941 6.494
0.955 0.948 2.165
0.948 2.837 -2.165
0.941 0.948 10.824
1.896 0.000 4.330
0.000 0.000 8.659
```

Values from the calculation:
**Calculated total energy**: -5.54 eV per atom
**ΔE_f (raw)**: 0.289 eV per atom
**Space group**: I-42d, No. 122

=====

# 5
# Zn2FeSb

Zn2FeSb after structural relaxation (GGA-PBE, Alexandria).

The structure in POSCAR format:
```
Zn2FeSb
1.0
0.000 3.237 3.237
3.237 0.000 3.237
3.237 3.237 0.000
Zn Fe Sb
2 1 1
Cartesian
0.000 0.000 0.000
1.619 1.619 1.619
3.237 3.237 3.237
4.856 4.856 4.856
```

Values from the calculation:
**Calculated total energy**: -3.41 eV per atom
**ΔE_f (raw)**: 0.378 eV per atom
**Space group**: F-43m, No. 216